The following is a DFT calculation (PBE) of an optimized crystal structure of MgAg2Ru.

Results
ΔH_f (0 K): 211.7 meV/atom
N(E_F): 3.35 states/eV per cell

Unit cell a=4.9385 b=4.9385 c=5.0781 alpha=80.87 beta=80.87 gamma=33.11
Fractional coordinates of all 4 atoms:
Ag1 0.0028 0.0028 0.9987
Ag2 0.2493 0.2493 0.2452
Mg1 0.4968 0.4968 0.5159
Ru1 0.7511 0.7511 0.7402

The following is a DFT calculation (PBE) of an optimized crystal structure of SeI2OF.

Results
N(E_F): 5.31 states/eV per cell
total energy: -1.8845 eV per atom

Unit cell a=5.2021 b=5.2021 c=3.8883 alpha=90.00 beta=90.00 gamma=90.00
Fractional coordinates of all 5 atoms:
I1 0.0000 0.5000 0.0000
I2 0.5000 0.0000 0.0000
O1 0.0000 0.0000 0.5000
Se1 0.5000 0.5000 0.5000
F1 0.0000 0.0000 0.0000

The following is a DFT calculation (PBE) of an optimized crystal structure of LuTiAlGa.

Results
ΔH_f (0 K): -283.1 meV/atom
N(E_F): 4.75 states/eV per cell

Unit cell a=4.7446 b=4.7446 c=4.7446 alpha=60.00 beta=60.00 gamma=60.00
Each line ends with the local moment (μB).
Fractional coordinates of all 4 atoms:
Lu1 0.5000 0.5000 0.5000  -0.04
Al1 0.2500 0.2500 0.2500  0.01
Ga1 0.7500 0.7500 0.7500  0.01
Ti1 0.0000 0.0000 0.0000  -0.59

The following is a DFT calculation (PBE) of an optimized crystal structure of TeWBrN2.

Results
N(E_F): 1.48 states/eV per cell
total energy: -6.4086 eV per atom

Unit cell a=4.0026 b=4.0026 c=5.7479 alpha=90.00 beta=90.00 gamma=90.00
Each line ends with the local moment (μB).
Fractional coordinates of all 5 atoms:
Te1 0.0000 0.0000 0.5000  0.01
Br1 0.5000 0.5000 0.5000  0.00
W1 0.0000 0.0000 0.0000  -0.21
N1 0.0000 0.5000 0.0000  0.35
N2 0.5000 0.0000 0.0000  0.35

The following is a DFT calculation (PBE) of an optimized crystal structure of Rb2AlHCl6.

Results
N(E_F): 0.00 states/eV per cell
total energy: -3.4622 eV per atom

Unit cell a=7.7659 b=7.7659 c=7.1295 alpha=57.00 beta=57.00 gamma=90.00
Fractional coordinates of all 10 atoms:
H1 0.5000 0.5000 0.0000
Al1 0.0000 0.0000 0.0000
Rb1 0.7500 0.2500 0.5000
Rb2 0.2500 0.7500 0.5000
Cl1 0.3260 0.3260 0.3480
Cl2 0.6740 0.6740 0.6520
Cl3 0.2040 0.2040 0.0000
Cl4 0.7960 0.7960 0.0000
Cl5 0.7960 0.2040 0.0000
Cl6 0.2040 0.7960 0.0000

The following is a DFT calculation (PBE) of an optimized crystal structure of Tb2NdTe.

Results
N(E_F): 5.25 states/eV per cell
total energy: -4.8561 eV per atom

Unit cell a=3.8885 b=3.8885 c=8.0170 alpha=90.00 beta=90.00 gamma=90.00
Fractional coordinates of all 4 atoms:
Nd1 0.5000 0.5000 0.0000
Te1 0.5000 0.5000 0.5000
Tb1 0.0000 0.0000 0.7185
Tb2 0.0000 0.0000 0.2815

Q: What is the N(E_F) in the sixth record?
A: 5.25 states/eV per cell